## MgTe2RhO8 (PBE)

Data for an optimized crystal structure of MgTe2RhO8. Values from VASP.

Cell and atoms, written as Quantum ESPRESSO input:
```
&SYSTEM
  ibrav = 0, nat = 12, ntyp = 4
/
ATOMIC_SPECIES
O 16.00 O.upf
Te 127.60 Te.upf
Rh 102.91 Rh.upf
Mg 24.30 Mg.upf
CELL_PARAMETERS angstrom
5.9132 0.3999 0.0000
-2.2643 5.4772 0.0000
-1.8245 -2.9385 4.8128
ATOMIC_POSITIONS angstrom
O 0.0821 -1.7103 3.8408
O 3.3938 3.6235 0.9719
O 4.4294 0.7409 1.4405
O 0.2551 2.2535 0.9719
O 1.4838 -0.3410 1.4405
Te 1.8245 2.9385 0.0000
Te 2.9566 0.1999 2.4064
O 2.7882 1.7599 3.3723
Rh -1.1321 2.7386 2.4064
O -0.0821 1.7103 3.8408
O 3.1250 -1.3600 3.3723
Mg 0.0000 0.0000 0.0000
```

Summary:
Energy relative to the elements, uncorrected = -0.80 eV per atom
SG = I-4m2